*i*
# SrLiCa | the Alexandria database | PBE | relaxed
data_SrLiCa
_chemical_formula_sum 'Sr1 Li1 Ca1'
_space_group_name_H-M_alt 'P 1'
_space_group_IT_number 1
_space_group_name_Hall 'P 1'
_cell_length_a 7.592
_cell_length_b 7.592
_cell_length_c 4.086
_cell_angle_alpha 74.40
_cell_angle_beta 74.38
_cell_angle_gamma 31.22
loop_
_atom_site_label
_atom_site_type_symbol
_atom_site_fract_x
_atom_site_fract_y
_atom_site_fract_z
_atom_site_occupancy
Ca1 Ca 0.025 0.025 0.975 1
Sr1 Sr 0.317 0.317 0.683 1
Li1 Li 0.658 0.658 0.342 1
# Total moment in μB/cell: 0.00
# SG: I4mm, No. 107



*ii*
# SrLiCa | the Alexandria database | PBE | relaxed
data_SrLiCa
_chemical_formula_sum 'Sr2 Li2 Ca2'
_space_group_name_H-M_alt 'P 1'
_space_group_IT_number 1
_space_group_name_Hall 'P 1'
_cell_length_a 4.226
_cell_length_b 5.231
_cell_length_c 10.991
_cell_angle_alpha 90.00
_cell_angle_beta 101.08
_cell_angle_gamma 90.00
loop_
_atom_site_label
_atom_site_type_symbol
_atom_site_fract_x
_atom_site_fract_y
_atom_site_fract_z
_atom_site_occupancy
Li1 Li 0.961 0.750 0.921 1
Li2 Li 0.039 0.250 0.079 1
Ca1 Ca 0.206 0.250 0.411 1
Ca2 Ca 0.794 0.750 0.589 1
Sr1 Sr 0.598 0.750 0.195 1
Sr2 Sr 0.402 0.250 0.805 1
# Total moment in μB/cell: 0.00
# SG: Cmcm, No. 63



The structure with the most favorable energy is *i*; the runner-up is 0.9 kJ/mol of atoms above it.



*i*
# Sr2LiCa3 | the Alexandria database | PBE | relaxed
data_Sr2LiCa3
_chemical_formula_sum 'Sr4 Li2 Ca6'
_space_group_name_H-M_alt 'P 1'
_space_group_IT_number 1
_space_group_name_Hall 'P 1'
_cell_length_a 5.978
_cell_length_b 9.469
_cell_length_c 9.567
_cell_angle_alpha 90.00
_cell_angle_beta 90.01
_cell_angle_gamma 71.61
loop_
_atom_site_label
_atom_site_type_symbol
_atom_site_fract_x
_atom_site_fract_y
_atom_site_fract_z
_atom_site_occupancy
Li1 Li 0.654 0.692 0.000 1
Li2 Li 0.346 0.308 0.000 1
Sr1 Sr 0.000 0.000 0.000 1
Sr2 Sr 0.000 0.000 0.500 1
Sr3 Sr 0.333 0.334 0.500 1
Sr4 Sr 0.667 0.666 0.500 1
Ca1 Ca 0.824 0.353 0.208 1
Ca2 Ca 0.824 0.353 0.792 1
Ca3 Ca 0.176 0.647 0.208 1
Ca4 Ca 0.500 0.000 0.229 1
Ca5 Ca 0.176 0.647 0.792 1
Ca6 Ca 0.500 0.000 0.771 1
# Total moment in μB/cell: 0.00
# SG: Cmmm, No. 65



*ii*
# Sr2LiCa3 | the Alexandria database | PBE | relaxed
data_Sr2LiCa3
_chemical_formula_sum 'Sr2 Li1 Ca3'
_space_group_name_H-M_alt 'P 1'
_space_group_IT_number 1
_space_group_name_Hall 'P 1'
_cell_length_a 3.921
_cell_length_b 6.220
_cell_length_c 10.830
_cell_angle_alpha 90.00
_cell_angle_beta 90.00
_cell_angle_gamma 90.00
loop_
_atom_site_label
_atom_site_type_symbol
_atom_site_fract_x
_atom_site_fract_y
_atom_site_fract_z
_atom_site_occupancy
Ca1 Ca 0.500 0.000 0.175 1
Ca2 Ca 0.500 0.500 0.655 1
Ca3 Ca 0.500 0.000 0.835 1
Sr1 Sr 0.000 0.000 0.496 1
Sr2 Sr 0.000 0.500 0.007 1
Li1 Li 0.500 0.500 0.333 1
# Total moment in μB/cell: 0.00
# SG: Pmm2, No. 25



The structure with the most favorable energy is *i*; the runner-up is 2.8 kJ/mol of atoms above it.



*i*
# Sr6LiCa | the Alexandria database | PBE | relaxed
data_Sr6LiCa
_chemical_formula_sum 'Sr6 Li1 Ca1'
_space_group_name_H-M_alt 'P 1'
_space_group_IT_number 1
_space_group_name_Hall 'P 1'
_cell_length_a 10.414
_cell_length_b 10.413
_cell_length_c 7.369
_cell_angle_alpha 45.06
_cell_angle_beta 45.04
_cell_angle_gamma 60.03
loop_
_atom_site_label
_atom_site_type_symbol
_atom_site_fract_x
_atom_site_fract_y
_atom_site_fract_z
_atom_site_occupancy
Ca1 Ca 0.500 0.500 0.500 1
Sr1 Sr 0.000 0.500 0.251 1
Sr2 Sr 0.499 0.751 0.749 1
Sr3 Sr 0.751 0.000 0.749 1
Sr4 Sr 0.249 0.000 0.251 1
Sr5 Sr 0.501 0.249 0.251 1
Sr6 Sr 0.000 0.500 0.749 1
Li1 Li 0.000 0.000 0.000 1
# Total moment in μB/cell: 0.01
# SG: R-3, No. 148



*ii*
# Sr6LiCa | the Alexandria database | PBE | relaxed
data_Sr6LiCa
_chemical_formula_sum 'Sr6 Li1 Ca1'
_space_group_name_H-M_alt 'P 1'
_space_group_IT_number 1
_space_group_name_Hall 'P 1'
_cell_length_a 6.087
_cell_length_b 6.087
_cell_length_c 11.482
_cell_angle_alpha 74.63
_cell_angle_beta 74.63
_cell_angle_gamma 90.00
loop_
_atom_site_label
_atom_site_type_symbol
_atom_site_fract_x
_atom_site_fract_y
_atom_site_fract_z
_atom_site_occupancy
Sr1 Sr 0.389 0.889 0.222 1
Sr2 Sr 0.253 0.253 0.494 1
Sr3 Sr 0.747 0.747 0.506 1
Sr4 Sr 0.111 0.611 0.778 1
Sr5 Sr 0.889 0.389 0.222 1
Sr6 Sr 0.611 0.111 0.778 1
Ca1 Ca 0.500 0.500 0.000 1
Li1 Li 0.000 0.000 0.000 1
# Total moment in μB/cell: 0.00
# SG: I4/mmm, No. 139



The structure with the most favorable energy is *ii*; the runner-up is 4.3 kJ/mol of atoms above it.



*i*
# Sr8Li2Ca | the Alexandria database | PBE | relaxed
data_Sr8Li2Ca
_chemical_formula_sum 'Sr8 Li2 Ca1'
_space_group_name_H-M_alt 'P 1'
_space_group_IT_number 1
_space_group_name_Hall 'P 1'
_cell_length_a 6.615
_cell_length_b 9.631
_cell_length_c 9.631
_cell_angle_alpha 113.03
_cell_angle_beta 98.91
_cell_angle_gamma 98.91
loop_
_atom_site_label
_atom_site_type_symbol
_atom_site_fract_x
_atom_site_fract_y
_atom_site_fract_z
_atom_site_occupancy
Sr1 Sr 0.500 0.755 0.245 1
Sr2 Sr 0.088 0.324 0.072 1
Sr3 Sr 0.912 0.928 0.676 1
Sr4 Sr 0.912 0.676 0.928 1
Sr5 Sr 0.311 0.613 0.613 1
Sr6 Sr 0.088 0.072 0.324 1
Sr7 Sr 0.689 0.387 0.387 1
Sr8 Sr 0.500 0.245 0.755 1
Li1 Li 0.000 0.683 0.317 1
Li2 Li 0.000 0.317 0.683 1
Ca1 Ca 0.500 0.000 0.000 1
# Total moment in μB/cell: 0.00
# SG: C2/m, No. 12



*ii*
# Sr8Li2Ca | the Alexandria database | PBE | relaxed
data_Sr8Li2Ca
_chemical_formula_sum 'Sr8 Li2 Ca1'
_space_group_name_H-M_alt 'P 1'
_space_group_IT_number 1
_space_group_name_Hall 'P 1'
_cell_length_a 5.826
_cell_length_b 10.208
_cell_length_c 10.795
_cell_angle_alpha 118.22
_cell_angle_beta 105.66
_cell_angle_gamma 90.00
loop_
_atom_site_label
_atom_site_type_symbol
_atom_site_fract_x
_atom_site_fract_y
_atom_site_fract_z
_atom_site_occupancy
Li1 Li 0.202 0.702 0.403 1
Li2 Li 0.798 0.298 0.597 1
Sr1 Sr 0.000 0.694 0.000 1
Sr2 Sr 0.337 0.550 0.674 1
Sr3 Sr 0.000 0.306 0.000 1
Sr4 Sr 0.852 0.852 0.704 1
Sr5 Sr 0.663 0.450 0.326 1
Sr6 Sr 0.337 0.124 0.674 1
Sr7 Sr 0.663 0.876 0.326 1
Sr8 Sr 0.148 0.148 0.296 1
Ca1 Ca 0.500 0.000 0.000 1
# Total moment in μB/cell: 0.00
# SG: Immm, No. 71



The structure with the most favorable energy is *ii*; the runner-up is 0.5 kJ/mol of atoms above it.